[1]
VASP calculation (PBE-GGA) on an optimized crystal structure of KV2H.

Values from the calculation:
Energy relative to the lowest polymorph listed for this composition: 1078 meV/atom

Geometry as POSCAR:
```
KV2H
1.0
0.000 3.500 3.500
3.500 0.000 3.500
3.500 3.500 0.000
K V H
1 2 1
direct
0.000 0.000 0.000 K
0.250 0.250 0.250 V
0.750 0.750 0.750 V
0.500 0.500 0.500 H
```

[2]
VASP calculation (PBE-GGA) on an optimized crystal structure of K2VH.

Values from the calculation:
Energy relative to the lowest polymorph listed for this composition: 210 meV/atom

Geometry as POSCAR:
```
K2VH
1.0
0.000 4.116 4.116
4.116 0.000 4.116
4.116 4.116 0.000
K V H
2 1 1
direct
0.250 0.250 0.250 K
0.750 0.750 0.750 K
0.000 0.000 0.000 V
0.500 0.500 0.500 H
```

[3]
VASP calculation (PBE-GGA) on an optimized crystal structure of KVH2.

Values from the calculation:
Energy relative to the lowest polymorph listed for this composition: 0 meV/atom

Geometry as POSCAR:
```
KVH2
1.0
1.487 0.858 6.074
-1.487 0.858 6.074
0.000 -1.717 6.074
K V H
1 1 2
direct
0.000 0.000 0.000 K
0.500 0.500 0.500 V
0.214 0.214 0.214 H
0.786 0.786 0.786 H
```

[4]
VASP calculation (PBE-GGA) on an optimized crystal structure of K2VH2.

Values from the calculation:
Energy relative to the lowest polymorph listed for this composition: 0 meV/atom

Geometry as POSCAR:
```
K2VH2
1.0
8.249 0.000 0.000
0.000 8.249 0.000
0.000 0.000 3.105
K V H
4 2 4
direct
0.142 0.358 0.000 K
0.358 0.858 0.000 K
0.642 0.142 0.000 K
0.858 0.642 0.000 K
0.000 0.000 0.000 V
0.500 0.500 0.000 V
0.155 0.655 0.500 H
0.345 0.155 0.500 H
0.655 0.845 0.500 H
0.845 0.345 0.500 H
```

[5]
VASP calculation (PBE-GGA) on an optimized crystal structure of K2VH.

Values from the calculation:
Energy relative to the lowest polymorph listed for this composition: 0 meV/atom

Geometry as POSCAR:
```
K2VH
1.0
-3.984 3.984 4.532
3.984 -3.984 4.532
3.984 3.984 -4.532
K V H
4 2 2
direct
0.014 0.125 0.389 K
0.375 0.986 0.111 K
0.736 0.625 0.611 K
0.875 0.264 0.889 K
0.250 0.750 0.500 V
0.500 0.500 0.000 V
0.000 0.000 0.000 H
0.750 0.250 0.500 H
```

[6]
VASP calculation (PBE-GGA) on an optimized crystal structure of KVH.

Values from the calculation:
Total energy: -3.991 eV/atom

Geometry as POSCAR:
```
KVH
1.0
11.460 0.000 0.000
0.000 1.653 2.855
0.000 -1.653 2.855
K V H
2 2 2
direct
0.154 0.000 0.000 K
0.846 0.000 0.000 K
0.419 0.656 0.656 V
0.581 0.656 0.656 V
0.000 0.666 0.666 H
0.500 0.990 0.990 H
```

[7]
VASP calculation (PBE-GGA) on an optimized crystal structure of K3H8W.

Values from the calculation:
Total energy: -3.797 eV/atom

Geometry as POSCAR:
```
K3H8W
1.0
-3.139 3.139 4.105
3.139 -3.139 4.105
3.139 3.139 -4.105
K H W
3 8 1
direct
0.000 0.000 0.000 K
0.250 0.750 0.500 K
0.750 0.250 0.500 K
0.210 0.210 0.778 H
0.246 0.641 0.000 H
0.359 0.359 0.604 H
0.432 0.432 0.222 H
0.568 0.790 0.000 H
0.641 0.246 0.000 H
0.754 0.754 0.396 H
0.790 0.568 0.000 H
0.500 0.500 0.000 W
```

[8]
VASP calculation (PBE-GGA) on an optimized crystal structure of KZn2HW.

Values from the calculation:
Total energy: -2.754 eV/atom

Geometry as POSCAR:
```
KZn2HW
1.0
4.382 0.000 0.000
0.000 4.382 0.000
0.000 0.000 4.237
K Zn H W
1 2 1 1
direct
0.000 0.000 0.000 K
0.000 0.500 0.500 Zn
0.500 0.000 0.500 Zn
0.000 0.000 0.500 H
0.500 0.500 0.000 W
```